1.
Entry from OQMD: an optimized crystal structure of NaZrAg3S4 (GGA-PBE).

Geometry as POSCAR:
```
NaZrAg3S4
1.0
6.298 0.000 0.000
0.000 7.864 0.000
-2.083 0.000 9.581
Na Zr Ag S
2 2 6 8
Cartesian
-0.106 1.966 1.688
4.321 5.898 7.893
0.308 5.898 2.884
3.906 1.966 6.697
0.673 0.382 5.100
0.673 3.550 5.100
0.960 1.966 7.576
3.255 5.898 2.005
3.542 4.314 4.481
3.542 7.481 4.481
-0.781 5.898 5.151
-1.141 1.966 8.725
1.748 0.005 2.656
1.748 3.927 2.656
2.467 3.937 6.925
2.467 7.858 6.925
5.355 5.898 0.856
4.995 1.966 4.430
```

Output
The total magnetic moment is 0.000 μB/atom. As for the density: 3.96 g cm⁻³. For the total energy, the calculation gives -4.56 eV/atom. The space group is P2_1/m.

2.
Entry from OQMD: an optimized crystal structure of Na2AgSe2 (GGA-PBE).

Geometry as POSCAR:
```
Na2AgSe2
1.0
5.044 -1.999 0.000
5.044 1.999 0.000
-1.280 0.000 6.046
Na Ag Se
2 1 2
Cartesian
1.312 0.000 1.312
7.496 0.000 4.734
4.404 0.000 3.023
0.340 0.000 4.457
8.468 0.000 1.590
```

Output
As for the density: 4.25 g cm⁻³. For the total energy, the calculation gives -3.14 eV/atom. The space group is C2/m.